Record 1
! NbAg2B2 PBEsol relaxed; values from VASP
! E_form in eV/f.u.: 1.472
! Size of the total moment in μB per cell: 0.0
! Space group: I4/mmm
&SYSTEM
  ibrav = 0, nat = 5, ntyp = 3
/
ATOMIC_SPECIES
B 10.81 B.upf
Ag 107.87 Ag.upf
Nb 92.91 Nb.upf
ATOMIC_POSITIONS crystal
B 0.5862 0.5862 0.1725
B 0.4138 0.4138 0.8275
Ag 0.2500 0.7500 0.5000
Ag 0.7500 0.2500 0.5000
Nb 0.0000 0.0000 0.0000
CELL_PARAMETERS angstrom
-1.2025 -2.5611 -2.2020
2.6547 0.7283 -2.2969
2.0893 -2.3208 4.4770

***

Record 2
! LiMg3 PBEsol relaxed; values from VASP
! E_form in eV/f.u.: 0.199
! Size of the total moment in μB per cell: 0.0
! Space group: P6_3/mmc
&SYSTEM
  ibrav = 0, nat = 8, ntyp = 2
/
ATOMIC_SPECIES
Mg 24.30 Mg.upf
Li 6.94 Li.upf
ATOMIC_POSITIONS crystal
Mg 0.3333 0.6667 0.4227
Mg 0.6667 0.3333 0.9227
Mg 0.6667 0.3333 0.5773
Mg 0.3333 0.6667 0.0773
Mg 0.0000 0.0000 0.2500
Mg 0.0000 0.0000 0.7500
Li 0.6667 0.3333 0.2500
Li 0.3333 0.6667 0.7500
CELL_PARAMETERS angstrom
-4.8204 0.2094 0.1566
2.2211 -1.5194 -4.0078
-0.2574 -8.1201 2.9358

***

Record 3
! SiPRu2Br PBEsol relaxed; values from VASP
! E_form (uncorrected) in eV/f.u.: 7.09
! Size of the total moment in μB per cell: 0.8
! Space group: P4/mmm
&SYSTEM
  ibrav = 0, nat = 5, ntyp = 4
/
ATOMIC_SPECIES
Br 79.90 Br.upf
Si 28.09 Si.upf
Ru 101.07 Ru.upf
P 30.97 P.upf
ATOMIC_POSITIONS crystal
Br 0.0000 0.0000 0.5000
Si 0.0000 0.0000 0.0000
Ru 0.5000 0.0000 0.0000
Ru 0.0000 0.5000 0.0000
P 0.5000 0.5000 0.5000
CELL_PARAMETERS angstrom
-0.6307 -1.5192 4.1435
3.8379 -2.2553 -0.2427
2.2653 3.6729 1.6915

***

Record 4
! Sc2OsBr PBEsol relaxed; values from VASP
! E_form (uncorrected) in eV/f.u.: -1.46
! Size of the total moment in μB per cell: 0.0
! Space group: P4/mmm
&SYSTEM
  ibrav = 0, nat = 4, ntyp = 3
/
ATOMIC_SPECIES
Sc 44.96 Sc.upf
Os 190.23 Os.upf
Br 79.90 Br.upf
ATOMIC_POSITIONS crystal
Sc 0.0000 0.0000 0.5000
Sc 0.0000 0.5000 0.0000
Os 0.5000 0.0000 0.0000
Br 0.5000 0.5000 0.5000
CELL_PARAMETERS angstrom
-2.6818 -1.5717 0.4305
2.4558 -4.0818 0.3963
0.3615 0.6756 4.7182

***

Record 5
! BiSe PBEsol relaxed; values from VASP
! E_form (uncorrected) in eV/f.u.: -0.64
! Size of the total moment in μB per cell: 0.0
! Space group: P-3m1
&SYSTEM
  ibrav = 0, nat = 12, ntyp = 2
/
ATOMIC_SPECIES
Bi 208.98 Bi.upf
Se 78.96 Se.upf
ATOMIC_POSITIONS crystal
Bi 0.0000 0.0000 0.1221
Bi 0.6667 0.3333 0.4604
Bi 0.3333 0.6667 0.5396
Bi 0.3333 0.6667 0.2857
Bi 0.0000 0.0000 0.8779
Bi 0.6667 0.3333 0.7143
Se 0.3333 0.6667 0.0552
Se 0.0000 0.0000 0.3546
Se 0.3333 0.6667 0.7949
Se 0.0000 0.0000 0.6454
Se 0.6667 0.3333 0.9448
Se 0.6667 0.3333 0.2051
CELL_PARAMETERS angstrom
-2.0965 2.2737 -2.8502
-2.1089 -2.2237 2.8803
0.3130 17.8845 14.0367

***

Record 6
! Mn2BeP PBEsol relaxed; values from VASP
! E_form in eV/f.u.: -1.382
! Size of the total moment in μB per cell: 0.0
! Space group: Fm-3m
! ΔE to the lowest computed polymorph in eV/f.u.: 0.00
&SYSTEM
  ibrav = 0, nat = 4, ntyp = 3
/
ATOMIC_SPECIES
P 30.97 P.upf
Mn 54.94 Mn.upf
Be 9.01 Be.upf
ATOMIC_POSITIONS crystal
P 0.0000 0.0000 0.0000
Mn 0.7500 0.7500 0.7500
Mn 0.2500 0.2500 0.2500
Be 0.5000 0.5000 0.5000
CELL_PARAMETERS angstrom
3.7552 0.0000 0.0000
1.8776 3.2521 0.0000
1.8776 1.0840 3.0661

***

Record 7
! BaCdIr PBEsol relaxed; values from VASP
! E_form in eV/f.u.: 3.092
! Size of the total moment in μB per cell: 0.0
! Space group: F-43m
&SYSTEM
  ibrav = 0, nat = 3, ntyp = 3
/
ATOMIC_SPECIES
Ir 192.22 Ir.upf
Cd 112.41 Cd.upf
Ba 137.33 Ba.upf
ATOMIC_POSITIONS crystal
Ir 0.5000 0.5000 0.5000
Cd 0.0000 0.0000 0.0000
Ba 0.2500 0.2500 0.2500
CELL_PARAMETERS angstrom
5.0602 0.0000 0.0000
2.5301 4.3823 0.0000
2.5301 1.4608 4.1316

***

Record 8
! OsRuRh2 PBEsol relaxed; values from VASP
! E_form in eV/f.u.: 0.278
! Size of the total moment in μB per cell: 0.0
! Space group: I-4m2
! ΔE to the lowest computed polymorph in eV/f.u.: 0.14
&SYSTEM
  ibrav = 0, nat = 4, ntyp = 3
/
ATOMIC_SPECIES
Rh 102.91 Rh.upf
Os 190.23 Os.upf
Ru 101.07 Ru.upf
ATOMIC_POSITIONS crystal
Rh 0.7500 0.2500 0.5000
Rh 0.0000 0.0000 0.0000
Os 0.2500 0.7500 0.5000
Ru 0.5000 0.5000 0.0000
CELL_PARAMETERS angstrom
-2.9945 -0.5682 -2.2517
1.5592 -3.2148 -1.2624
-0.9934 -0.0215 4.5152